# Tb2NpFeO8

An optimized crystal structure of Tb2NpFeO8 (PBE with a Hubbard U, Alexandria via LeMat-Bulk).

Results
VASP energy   -8.310 eV/atom
Crystal system   monoclinic

a b c (Å): 4.9858 6.8514 4.9864
angles (deg): 90.00 93.12 90.00
Space group P2/m (No. 10)
Unique sites:
1 Tb 0.0000 0.2370 0.0000
2 Np 0.5000 0.5000 0.5000
3 Fe 0.5000 0.0000 0.5000
4 O 0.2095 0.5000 0.2074
5 O 0.2206 0.0000 0.2196
6 O 0.3198 0.2683 0.6787